Compound: MnO2
Source: Alexandria
Functional: PBE+U
Structure: relaxed

Calculated values
Theoretical density, g cm⁻³: 3.26
Uncorrected energy, eV for the cell shown: -128.15
Volume, Å³ per atom: 14.8

```
18
Lattice="2.930 0.000 0.000 0.000 9.461 0.082 0.000 0.411 9.590" Properties=species:S:1:pos:R:3 pbc="T T T"
O 1.465 3.797 0.910
O 1.465 8.615 1.658
O 0.000 1.163 5.637
O 0.000 6.321 1.152
O 0.000 3.551 8.519
O 0.000 8.710 4.034
O 1.465 1.257 8.013
O 0.000 8.479 8.933
O 1.465 8.718 6.570
O 1.465 1.154 3.101
O 1.465 6.075 8.761
O 0.000 1.393 0.738
Mn 1.465 7.267 0.282
Mn 1.465 2.605 9.390
Mn 0.000 9.678 7.425
Mn 1.465 0.206 4.795
Mn 0.000 0.194 2.246
Mn 0.000 4.731 0.041
```